No. 1
A geometry-optimized TiBi2AsS structure, computed with PBE.

a b c (Å): 5.544 5.544 4.420
angles (deg): 90.00 90.00 90.00
Element x y z (fractional)
1 Ti 0.000 0.000 0.000
2 Bi 0.000 0.500 0.000
3 Bi 0.500 0.000 0.000
4 As 0.500 0.500 0.500
5 S 0.000 0.000 0.500

Output
* theoretical density: 7002 kg/m³
* ΔE_f (raw): 49.3 kJ/mol of formula units
* E_tot: -4.785 eV/atom

No. 2
A geometry-optimized KNaNiBr4 structure, computed with PBE.

a b c (Å): 6.816 7.420 9.134
angles (deg): 90.00 107.72 90.00
Element x y z (fractional)
1 K 0.233 0.250 0.055
2 K 0.767 0.750 0.945
3 Na 0.209 0.250 0.545
4 Na 0.791 0.750 0.455
5 Ni 0.248 0.750 0.321
6 Ni 0.752 0.250 0.679
7 Br 0.005 0.506 0.275
8 Br 0.005 0.994 0.275
9 Br 0.383 0.750 0.110
10 Br 0.430 0.750 0.586
11 Br 0.570 0.250 0.414
12 Br 0.617 0.250 0.890
13 Br 0.995 0.006 0.725
14 Br 0.995 0.494 0.725

Output
* theoretical density: 3324 kg/m³
* ΔE_f (raw): -689.7 kJ/mol of formula units
* E_tot: -3.148 eV/atom

No. 3
A geometry-optimized RhSeO2 structure, computed with PBE.

a b c (Å): 7.153 7.153 7.153
angles (deg): 22.98 22.98 22.98
Element x y z (fractional)
1 Rh 0.000 0.000 0.000
2 Se 0.500 0.500 0.500
3 O 0.092 0.092 0.092
4 O 0.908 0.908 0.908

Output
* theoretical density: 7250 kg/m³
* ΔE_f (raw): 61.2 kJ/mol of formula units
* E_tot: -5.030 eV/atom

No. 4
A geometry-optimized AlFe2Ru2 structure, computed with PBE.

a b c (Å): 7.063 7.063 2.677
angles (deg): 90.00 90.00 90.00
Element x y z (fractional)
1 Al 0.000 0.000 0.000
2 Al 0.500 0.500 0.000
3 Fe 0.167 0.333 0.500
4 Fe 0.333 0.833 0.500
5 Fe 0.667 0.167 0.500
6 Fe 0.833 0.667 0.500
7 Ru 0.129 0.629 0.000
8 Ru 0.371 0.129 0.000
9 Ru 0.629 0.871 0.000
10 Ru 0.871 0.371 0.000

Output
* theoretical density: 8476 kg/m³
* calculated formation energy: 217.6 meV per atom
* E_tot: -7.626 eV/atom